Entry 1:
# KNi5Te8 (GGA-PBE, optimized geometry)
# Raw formation energy: -279 meV per atom
# Fermi-level density of states: 0.5882 states/eV/atom
data_KNi5Te8
_cell_length_a 10.269
_cell_length_b 10.269
_cell_length_c 8.915
_cell_angle_alpha 106.86
_cell_angle_beta 106.86
_cell_angle_gamma 21.83
_space_group_name_H-M_alt 'P 1'
_space_group_IT_number 1
loop_
_space_group_symop_operation_xyz
'x,y,z'
loop_
_atom_site_label
_atom_site_fract_x
_atom_site_fract_y
_atom_site_fract_z
K1 0.000 0.000 0.000
Ni1 0.164 0.164 0.504
Ni2 0.203 0.203 0.815
Ni3 0.500 0.500 0.500
Ni4 0.797 0.797 0.184
Ni5 0.836 0.836 0.496
Te1 0.069 0.069 0.669
Te2 0.255 0.255 0.340
Te3 0.327 0.327 0.018
Te4 0.410 0.410 0.650
Te5 0.590 0.590 0.350
Te6 0.673 0.673 0.981
Te7 0.744 0.744 0.660
Te8 0.930 0.930 0.331

---

Entry 2:
# KNi2Te (GGA-PBE, optimized geometry)
# Raw formation energy: 111 meV per atom
# Fermi-level density of states: 0.8797 states/eV/atom
data_KNi2Te
_cell_length_a 4.741
_cell_length_b 4.282
_cell_length_c 5.482
_cell_angle_alpha 90.00
_cell_angle_beta 91.38
_cell_angle_gamma 90.00
_space_group_name_H-M_alt 'P 1'
_space_group_IT_number 1
loop_
_space_group_symop_operation_xyz
'x,y,z'
loop_
_atom_site_label
_atom_site_fract_x
_atom_site_fract_y
_atom_site_fract_z
K1 0.000 0.000 0.000
Ni1 0.239 0.500 0.530
Ni2 0.761 0.500 0.470
Te1 0.500 0.000 0.500

---

Entry 3:
# KNi2Te (GGA-PBE, optimized geometry)
# Raw formation energy: 516 meV per atom
# Fermi-level density of states: 1.1604 states/eV/atom
data_KNi2Te
_cell_length_a 4.550
_cell_length_b 4.550
_cell_length_c 3.650
_cell_angle_alpha 90.00
_cell_angle_beta 90.00
_cell_angle_gamma 90.00
_space_group_name_H-M_alt 'P 1'
_space_group_IT_number 1
loop_
_space_group_symop_operation_xyz
'x,y,z'
loop_
_atom_site_label
_atom_site_fract_x
_atom_site_fract_y
_atom_site_fract_z
K1 0.000 0.000 0.000
Ni1 0.000 0.500 0.500
Ni2 0.500 0.000 0.500
Te1 0.500 0.500 0.000

---

| no. | volume (Å³ per cell) | total DFT energy (no corrections) (eV/cell) | total moment (μB/f.u.) |
| --- | --- | --- | --- |
| 1 | 334 | -59.0 | 0.0 |
| 2 | 111 | -15.4 | 0.9 |
| 3 | 76 | -13.7 | 0.0 |